1.
Entry from the Alexandria database: a relaxed structure of Sr2Ca6RhAu (PBE).

Lattice parameters (Å, degrees): 8.150 8.150 8.150 60.00 60.00 60.00
Fractional positions:
1 Sr 0.250 0.250 0.250
2 Sr 0.750 0.750 0.750
3 Ca 0.242 0.242 0.758
4 Ca 0.242 0.758 0.242
5 Ca 0.242 0.758 0.758
6 Ca 0.758 0.242 0.242
7 Ca 0.758 0.242 0.758
8 Ca 0.758 0.758 0.242
9 Rh 0.000 0.000 0.000
10 Au 0.500 0.500 0.500

Its formation energy is -295 meV/atom. For the total magnetic moment, the calculation gives 0.000 μB per formula unit.

2.
Entry from the Alexandria database: a relaxed structure of SrCaRhAu (PBE).

Lattice parameters (Å, degrees): 5.143 5.143 5.143 60.00 60.00 60.00
Fractional positions:
1 Sr 0.000 0.000 0.000
2 Ca 0.500 0.500 0.500
3 Rh 0.750 0.750 0.750
4 Au 0.250 0.250 0.250

Its formation energy is -453 meV/atom. For the total magnetic moment, the calculation gives 0.000 μB per formula unit.